(1)
Below is a geometry-optimized ErHfBeCo structure, with properties calculated at the GGA-PBE level.

Computed properties:
As for the magnetization: 0.118 μB per atom. As for the formation energy from the elements: -0.066 eV per atom. As for the space group: No. 216. The density of states at the Fermi level is 12.51 states/eV/cell.

Cell: 6.481 6.481 6.481 Å, 90.00 90.00 90.00°
Fractional positions:
Er  0.000  0.000  0.000
Er  0.000  0.500  0.500
Er  0.500  0.000  0.500
Er  0.500  0.500  0.000
Hf  0.000  0.000  0.500
Hf  0.000  0.500  0.000
Hf  0.500  0.000  0.000
Hf  0.500  0.500  0.500
Be  0.250  0.250  0.250
Be  0.250  0.750  0.750
Be  0.750  0.250  0.750
Be  0.750  0.750  0.250
Co  0.250  0.250  0.750
Co  0.250  0.750  0.250
Co  0.750  0.250  0.250
Co  0.750  0.750  0.750

(2)
Below is a geometry-optimized HoErBeCo structure, with properties calculated at the GGA-PBE level.

Computed properties:
As for the magnetization: 0.000 μB per atom. As for the formation energy from the elements: -0.059 eV per atom. As for the space group: No. 216. The density of states at the Fermi level is 10.16 states/eV/cell.

Cell: 6.683 6.683 6.683 Å, 90.00 90.00 90.00°
Fractional positions:
Ho  0.000  0.000  0.000
Ho  0.000  0.500  0.500
Ho  0.500  0.000  0.500
Ho  0.500  0.500  0.000
Er  0.000  0.000  0.500
Er  0.000  0.500  0.000
Er  0.500  0.000  0.000
Er  0.500  0.500  0.500
Be  0.250  0.250  0.750
Be  0.250  0.750  0.250
Be  0.750  0.250  0.250
Be  0.750  0.750  0.750
Co  0.250  0.250  0.250
Co  0.250  0.750  0.750
Co  0.750  0.250  0.750
Co  0.750  0.750  0.250

(3)
Below is a geometry-optimized ErLuBeCo structure, with properties calculated at the GGA-PBE level.

Computed properties:
As for the magnetization: 0.000 μB per atom. As for the formation energy from the elements: -0.092 eV per atom. As for the space group: No. 216. The density of states at the Fermi level is 10.03 states/eV/cell.

Cell: 6.619 6.619 6.619 Å, 90.00 90.00 90.00°
Fractional positions:
Er  0.000  0.000  0.000
Er  0.000  0.500  0.500
Er  0.500  0.000  0.500
Er  0.500  0.500  0.000
Lu  0.000  0.000  0.500
Lu  0.000  0.500  0.000
Lu  0.500  0.000  0.000
Lu  0.500  0.500  0.500
Be  0.250  0.250  0.750
Be  0.250  0.750  0.250
Be  0.750  0.250  0.250
Be  0.750  0.750  0.750
Co  0.250  0.250  0.250
Co  0.250  0.750  0.750
Co  0.750  0.250  0.750
Co  0.750  0.750  0.250

(4)
Below is a geometry-optimized PmErBeCo structure, with properties calculated at the GGA-PBE level.

Computed properties:
As for the magnetization: 0.000 μB per atom. As for the formation energy from the elements: 0.026 eV per atom. As for the space group: No. 216. The density of states at the Fermi level is 10.99 states/eV/cell.

Cell: 6.805 6.805 6.805 Å, 90.00 90.00 90.00°
Fractional positions:
Pm  0.000  0.000  0.000
Pm  0.000  0.500  0.500
Pm  0.500  0.000  0.500
Pm  0.500  0.500  0.000
Er  0.000  0.000  0.500
Er  0.000  0.500  0.000
Er  0.500  0.000  0.000
Er  0.500  0.500  0.500
Be  0.250  0.250  0.250
Be  0.250  0.750  0.750
Be  0.750  0.250  0.750
Be  0.750  0.750  0.250
Co  0.250  0.250  0.750
Co  0.250  0.750  0.250
Co  0.750  0.250  0.250
Co  0.750  0.750  0.750

(5)
Below is a geometry-optimized ErScBeCo structure, with properties calculated at the GGA-PBE level.

Computed properties:
As for the magnetization: 0.000 μB per atom. As for the formation energy from the elements: -0.113 eV per atom. As for the space group: No. 216. The density of states at the Fermi level is 8.48 states/eV/cell.

Cell: 6.484 6.484 6.484 Å, 90.00 90.00 90.00°
Fractional positions:
Er  0.000  0.000  0.000
Er  0.000  0.500  0.500
Er  0.500  0.000  0.500
Er  0.500  0.500  0.000
Sc  0.000  0.000  0.500
Sc  0.000  0.500  0.000
Sc  0.500  0.000  0.000
Sc  0.500  0.500  0.500
Be  0.250  0.250  0.750
Be  0.250  0.750  0.250
Be  0.750  0.250  0.250
Be  0.750  0.750  0.750
Co  0.250  0.250  0.250
Co  0.250  0.750  0.750
Co  0.750  0.250  0.750
Co  0.750  0.750  0.250

(6)
Below is a geometry-optimized Er2BeCo5Si2 structure, with properties calculated at the GGA-PBE level.

Computed properties:
As for the magnetization: 0.000 μB per atom. As for the space group: No. 127. The density of states at the Fermi level is 5.16 states/eV/cell. For the formation energy without anion corrections, the calculation gives -0.34 eV per atom.

Cell: 9.299 9.299 3.153 Å, 90.00 90.00 90.00°
Fractional positions:
Er  0.175  0.325  0.000
Er  0.325  0.825  0.000
Er  0.675  0.175  0.000
Er  0.825  0.675  0.000
Be  0.000  0.000  0.000
Be  0.500  0.500  0.000
Co  0.000  0.500  0.500
Co  0.063  0.795  0.500
Co  0.205  0.063  0.500
Co  0.295  0.563  0.500
Co  0.437  0.295  0.500
Co  0.500  0.000  0.500
Co  0.563  0.705  0.500
Co  0.705  0.437  0.500
Co  0.795  0.937  0.500
Co  0.937  0.205  0.500
Si  0.124  0.624  0.000
Si  0.376  0.124  0.000
Si  0.624  0.876  0.000
Si  0.876  0.376  0.000

(7)
Below is a geometry-optimized ErBeCoSi2 structure, with properties calculated at the GGA-PBE level.

Computed properties:
As for the magnetization: 0.000 μB per atom. As for the space group: No. 119. The density of states at the Fermi level is 7.35 states/eV/cell. For the formation energy without anion corrections, the calculation gives -0.64 eV per atom.

Cell: 3.822 3.822 9.821 Å, 90.00 90.00 90.00°
Fractional positions:
Er  0.000  0.000  0.000
Er  0.500  0.500  0.500
Be  0.000  0.500  0.750
Be  0.500  0.000  0.250
Co  0.000  0.500  0.250
Co  0.500  0.000  0.750
Si  0.000  0.000  0.377
Si  0.000  0.000  0.623
Si  0.500  0.500  0.123
Si  0.500  0.500  0.877

(8)
Below is a geometry-optimized ErTmBeCo structure, with properties calculated at the GGA-PBE level.

Computed properties:
As for the magnetization: 0.000 μB per atom. As for the formation energy from the elements: -0.079 eV per atom. As for the space group: No. 216. The density of states at the Fermi level is 10.09 states/eV/cell.

Cell: 6.648 6.648 6.648 Å, 90.00 90.00 90.00°
Fractional positions:
Er  0.000  0.000  0.000
Er  0.000  0.500  0.500
Er  0.500  0.000  0.500
Er  0.500  0.500  0.000
Tm  0.000  0.000  0.500
Tm  0.000  0.500  0.000
Tm  0.500  0.000  0.000
Tm  0.500  0.500  0.500
Be  0.250  0.250  0.250
Be  0.250  0.750  0.750
Be  0.750  0.250  0.750
Be  0.750  0.750  0.250
Co  0.250  0.250  0.750
Co  0.250  0.750  0.250
Co  0.750  0.250  0.250
Co  0.750  0.750  0.750

- Which value of magnetization does entry 1 give?
  0.118 μB per atom